Record 1
The following is a SCAN calculation of a crystal of Ba3TiNb4O15 relaxed with PBEsol, from Alexandria.

Density = 5.6 g cm⁻³
M_tot = 0.00 μB/cell
DOS(E_F) = 0.00 states/eV/f.u.
Raw formation energy = -3.07 eV/atom
Excess energy over the best structure of this formula in the dataset = 0 meV per atom

Unit cell a=4.0312 b=12.5852 c=12.5852 alpha=90.00 beta=90.00 gamma=90.00
Atoms (fractional coordinates):
O 0.5106 0.0658 0.1408
O 0.0185 0.0000 0.5000
O 0.0076 0.9196 0.2065
O 0.0076 0.2065 0.0804
O 0.5108 0.7220 0.7780
O 0.5105 0.6546 0.0057
O 0.0076 0.5804 0.7065
O 0.0076 0.2935 0.5804
O 0.0076 0.7065 0.4196
O 0.5105 0.3454 0.9943
O 0.0076 0.0804 0.7935
O 0.5105 0.0057 0.3454
O 0.5106 0.9342 0.8592
O 0.5108 0.7780 0.2780
O 0.5106 0.8592 0.0658
O 0.5106 0.5658 0.3592
O 0.5105 0.9943 0.6546
O 0.0076 0.7935 0.9196
O 0.5106 0.3592 0.4342
O 0.5106 0.4342 0.6408
O 0.5105 0.4943 0.8454
O 0.5105 0.5057 0.1546
O 0.5106 0.6408 0.5658
O 0.0076 0.4196 0.2935
O 0.5108 0.2220 0.7220
O 0.0185 0.5000 0.0000
O 0.5108 0.2780 0.2220
O 0.5105 0.8454 0.5057
O 0.5106 0.1408 0.9342
O 0.5105 0.1546 0.4943
Ba 0.9863 0.3354 0.8354
Ba 0.9863 0.8354 0.6646
Ba 0.9937 0.0000 0.0000
Ba 0.9863 0.1646 0.3354
Ba 0.9863 0.6646 0.1646
Ba 0.9937 0.5000 0.5000
Nb 0.4791 0.9254 0.2164
Nb 0.4791 0.4254 0.2836
Nb 0.4791 0.0746 0.7836
Nb 0.4791 0.2164 0.0746
Nb 0.4791 0.2836 0.5746
Nb 0.4791 0.7836 0.9254
Nb 0.4791 0.7164 0.4254
Nb 0.4791 0.5746 0.7164
Ti 0.4534 0.0000 0.5000
Ti 0.4534 0.5000 0.0000

=====

Record 2
The following is a SCAN calculation of a crystal of GeSbS2 relaxed with PBEsol, from Alexandria.

Density = 4.4 g cm⁻³
M_tot = 0.00 μB/cell
DOS(E_F) = 1.10 states/eV/f.u.
Raw formation energy = 0.14 eV/atom

Unit cell a=3.6543 b=3.6543 c=8.6066 alpha=77.74 beta=77.74 gamma=60.00
Atoms (fractional coordinates):
Ge 0.0000 0.0000 0.0000
Sb 0.5000 0.5000 0.5000
S 0.1001 0.1001 0.6997
S 0.8999 0.8999 0.3003

=====

Record 3
The following is a SCAN calculation of a crystal of V5As3 relaxed with PBEsol, from Alexandria.

Density = 7.2 g cm⁻³
M_tot = 0.00 μB/cell
Energy of formation = -0.500 eV/atom
DOS(E_F) = 4.79 states/eV/f.u.
Excess energy over the best structure of this formula in the dataset = 12 meV per atom

Unit cell a=6.3613 b=7.3797 c=9.3820 alpha=90.00 beta=90.00 gamma=90.00
Atoms (fractional coordinates):
As 0.9273 0.9845 0.6719
As 0.4124 0.7500 0.5073
As 0.0727 0.4845 0.3281
As 0.5727 0.9845 0.1719
As 0.4273 0.0155 0.8281
As 0.5727 0.5155 0.1719
As 0.9124 0.2500 0.9927
As 0.4273 0.4845 0.8281
As 0.5876 0.2500 0.4927
As 0.0876 0.7500 0.0073
As 0.0727 0.0155 0.3281
As 0.9273 0.5155 0.6719
V 0.7996 0.2500 0.2484
V 0.8547 0.7500 0.2153
V 0.1453 0.2500 0.7847
V 0.2996 0.7500 0.2516
V 0.0228 0.7500 0.4893
V 0.5228 0.2500 0.0107
V 0.7016 0.9412 0.4216
V 0.2984 0.4412 0.5784
V 0.7984 0.5588 0.9216
V 0.7016 0.5588 0.4216
V 0.7004 0.2500 0.7484
V 0.4772 0.7500 0.9893
V 0.9772 0.2500 0.5107
V 0.2984 0.0588 0.5784
V 0.2004 0.7500 0.7516
V 0.2016 0.0588 0.0784
V 0.6453 0.7500 0.7153
V 0.2016 0.4412 0.0784
V 0.3547 0.2500 0.2847
V 0.7984 0.9412 0.9216

=====

Record 4
The following is a SCAN calculation of a crystal of C2Se3 relaxed with PBEsol, from Alexandria.

Density = 5.4 g cm⁻³
M_tot = 0.00 μB/cell
DOS(E_F) = 1.23 states/eV/f.u.
Raw formation energy = 1.52 eV/atom

Unit cell a=3.0371 b=3.0371 c=10.2521 alpha=81.48 beta=81.48 gamma=60.00
Atoms (fractional coordinates):
Se 0.2261 0.2261 0.3216
Se 0.0000 0.0000 0.0000
Se 0.7739 0.7739 0.6784
C 0.5942 0.5942 0.2173
C 0.4058 0.4058 0.7827

=====

What did the third record say?
The following is a SCAN calculation of a crystal of V5As3 relaxed with PBEsol, from Alexandria.

Density = 7.2 g cm⁻³
M_tot = 0.00 μB/cell
Energy of formation = -0.500 eV/atom
DOS(E_F) = 4.79 states/eV/f.u.
Excess energy over the best structure of this formula in the dataset = 12 meV per atom

Unit cell a=6.3613 b=7.3797 c=9.3820 alpha=90.00 beta=90.00 gamma=90.00
Atoms (fractional coordinates):
As 0.9273 0.9845 0.6719
As 0.4124 0.7500 0.5073
As 0.0727 0.4845 0.3281
As 0.5727 0.9845 0.1719
As 0.4273 0.0155 0.8281
As 0.5727 0.5155 0.1719
As 0.9124 0.2500 0.9927
As 0.4273 0.4845 0.8281
As 0.5876 0.2500 0.4927
As 0.0876 0.7500 0.0073
As 0.0727 0.0155 0.3281
As 0.9273 0.5155 0.6719
V 0.7996 0.2500 0.2484
V 0.8547 0.7500 0.2153
V 0.1453 0.2500 0.7847
V 0.2996 0.7500 0.2516
V 0.0228 0.7500 0.4893
V 0.5228 0.2500 0.0107
V 0.7016 0.9412 0.4216
V 0.2984 0.4412 0.5784
V 0.7984 0.5588 0.9216
V 0.7016 0.5588 0.4216
V 0.7004 0.2500 0.7484
V 0.4772 0.7500 0.9893
V 0.9772 0.2500 0.5107
V 0.2984 0.0588 0.5784
V 0.2004 0.7500 0.7516
V 0.2016 0.0588 0.0784
V 0.6453 0.7500 0.7153
V 0.2016 0.4412 0.0784
V 0.3547 0.2500 0.2847
V 0.7984 0.9412 0.9216